1.
First-principles (PBE) data for a geometry-optimized Pm2Nd2SmMg structure, as listed in Alexandria.

Properties
Energy of formation = 0.177 eV per atom
SG = Ibam
ρ = 6.22 g/cm3
E = -4.05 eV per atom

Unit cell a=10.2093 b=10.2093 c=10.2093 alpha=140.61 beta=55.06 gamma=143.11
Element x y z (fractional)
Pm 0.1536 0.1523 0.3059
Pm 0.3464 0.6523 0.9988
Pm 0.6536 0.3477 0.0012
Pm 0.8464 0.8477 0.6941
Nd 0.1520 0.6584 0.8105
Nd 0.3480 0.1584 0.5064
Nd 0.6520 0.8416 0.4936
Nd 0.8480 0.3416 0.1895
Sm 0.2500 0.7500 0.5000
Sm 0.7500 0.2500 0.5000
Mg 0.2500 0.2500 0.0000
Mg 0.7500 0.7500 0.0000


2.
First-principles (PBE) data for a geometry-optimized Tb3DyN3 structure, as listed in Alexandria.

Properties
SG = Pm-3m
ρ = 9.42 g/cm3
E = -7.58 eV per atom
Formation energy (no corrections) = -1.373 eV per atom

Unit cell a=4.9329 b=4.9329 c=4.9329 alpha=90.00 beta=90.00 gamma=90.00
Element x y z (fractional)
Tb 0.0000 0.0000 0.5000
Tb 0.0000 0.5000 0.0000
Tb 0.5000 0.0000 0.0000
Dy 0.5000 0.5000 0.5000
N 0.0000 0.5000 0.5000
N 0.5000 0.0000 0.5000
N 0.5000 0.5000 0.0000


3.
First-principles (PBE) data for a geometry-optimized LiEr2Al structure, as listed in Alexandria.

Properties
Energy of formation = -0.210 eV per atom
SG = Fm-3m
ρ = 6.51 g/cm3
E = -3.91 eV per atom
Polymorph energy (0 for the lowest one) = 0.000 eV per atom

Unit cell a=5.1042 b=5.1042 c=5.1042 alpha=60.00 beta=60.00 gamma=60.00
Element x y z (fractional)
Li 0.0000 0.0000 0.0000
Er 0.2500 0.2500 0.2500
Er 0.7500 0.7500 0.7500
Al 0.5000 0.5000 0.5000


4.
First-principles (PBE) data for a geometry-optimized BeGeNO2 structure, as listed in Alexandria.

Properties
SG = P4/mmm
ρ = 4.14 g/cm3
E = -5.18 eV per atom
Formation energy (no corrections) = 0.133 eV per atom

Unit cell a=3.7027 b=3.7027 c=3.7307 alpha=90.00 beta=90.00 gamma=90.00
Element x y z (fractional)
Be 0.0000 0.0000 0.0000
Ge 0.5000 0.5000 0.5000
N 0.5000 0.5000 0.0000
O 0.0000 0.5000 0.5000
O 0.5000 0.0000 0.5000


5.
First-principles (PBE) data for a geometry-optimized Pr12CuHg6 structure, as listed in Alexandria.

Properties
Energy of formation = -0.187 eV per atom
SG = R-3
ρ = 8.43 g/cm3
E = -3.52 eV per atom

Unit cell a=8.3542 b=8.3542 c=8.3542 alpha=91.14 beta=91.14 gamma=91.14
Element x y z (fractional)
Pr 0.0426 0.3063 0.9458
Pr 0.0542 0.9574 0.6937
Pr 0.1546 0.3807 0.4908
Pr 0.3063 0.9458 0.0426
Pr 0.3807 0.4908 0.1546
Pr 0.4908 0.1546 0.3807
Pr 0.5092 0.8454 0.6193
Pr 0.6193 0.5092 0.8454
Pr 0.6937 0.0542 0.9574
Pr 0.8454 0.6193 0.5092
Pr 0.9458 0.0426 0.3063
Pr 0.9574 0.6937 0.0542
Cu 0.5000 0.5000 0.5000
Hg 0.2094 0.7677 0.3772
Hg 0.2323 0.6228 0.7906
Hg 0.3772 0.2094 0.7677
Hg 0.6228 0.7906 0.2323
Hg 0.7677 0.3772 0.2094
Hg 0.7906 0.2323 0.6228


6.
First-principles (PBE) data for a geometry-optimized CrFeCo2 structure, as listed in Alexandria.

Properties
Energy of formation = 0.101 eV per atom
SG = Cmm2
ρ = 8.32 g/cm3
E = -7.97 eV per atom

Unit cell a=2.4355 b=2.4355 c=7.9638 alpha=90.00 beta=90.00 gamma=107.54
Element x y z (fractional)
Cr 0.0000 0.0000 0.0000
Fe 0.5000 0.5000 0.2531
Co 0.0000 0.0000 0.5020
Co 0.5000 0.5000 0.7485


7.
First-principles (PBE) data for a geometry-optimized AcMgIr2 structure, as listed in Alexandria.

Properties
Energy of formation = -0.352 eV per atom
SG = R-3m
ρ = 10.92 g/cm3
E = -6.21 eV per atom

Unit cell a=5.8739 b=5.8739 c=5.8739 alpha=46.30 beta=46.30 gamma=46.30
Element x y z (fractional)
Ac 0.0000 0.0000 0.0000
Mg 0.5000 0.5000 0.5000
Ir 0.1824 0.1824 0.1824
Ir 0.8176 0.8176 0.8176


8.
First-principles (PBE) data for a geometry-optimized Cd2PRh structure, as listed in Alexandria.

Properties
Energy of formation = 0.242 eV per atom
SG = R-3m
ρ = 8.24 g/cm3
E = -3.41 eV per atom

Unit cell a=9.1848 b=9.1848 c=9.1848 alpha=19.07 beta=19.07 gamma=19.07
Element x y z (fractional)
Cd 0.2469 0.2469 0.2469
Cd 0.7531 0.7531 0.7531
P 0.0000 0.0000 0.0000
Rh 0.5000 0.5000 0.5000


9.
First-principles (PBE) data for a geometry-optimized RbMg6BO8 structure, as listed in Alexandria.

Properties
SG = P4/mmm
ρ = 3.31 g/cm3
E = -5.62 eV per atom
Formation energy (no corrections) = -2.068 eV per atom
Polymorph energy (0 for the lowest one) = 0.000 eV per atom

Unit cell a=4.8498 b=4.8498 c=7.8993 alpha=90.00 beta=90.00 gamma=90.00
Element x y z (fractional)
Rb 0.0000 0.0000 0.0000
Mg 0.0000 0.5000 0.2571
Mg 0.0000 0.5000 0.7429
Mg 0.5000 0.0000 0.2571
Mg 0.5000 0.0000 0.7429
Mg 0.5000 0.5000 0.0000
Mg 0.5000 0.5000 0.5000
B 0.0000 0.0000 0.5000
O 0.0000 0.0000 0.3316
O 0.0000 0.0000 0.6684
O 0.0000 0.5000 0.0000
O 0.0000 0.5000 0.5000
O 0.5000 0.0000 0.0000
O 0.5000 0.0000 0.5000
O 0.5000 0.5000 0.2494
O 0.5000 0.5000 0.7506


10.
First-principles (PBE) data for a geometry-optimized PuSn2Pd structure, as listed in Alexandria.

Properties
Energy of formation = -0.455 eV per atom
SG = Pnma
ρ = 10.43 g/cm3
E = -7.34 eV per atom

Unit cell a=6.9965 b=4.8284 c=11.0780 alpha=90.00 beta=90.00 gamma=90.00
Element x y z (fractional)
Pu 0.2291 0.2500 0.1682
Pu 0.2709 0.7500 0.6682
Pu 0.7291 0.2500 0.3318
Pu 0.7709 0.7500 0.8318
Sn 0.0409 0.7500 0.3383
Sn 0.2460 0.7500 0.9592
Sn 0.2540 0.2500 0.4592
Sn 0.4591 0.2500 0.8383
Sn 0.5409 0.7500 0.1617
Sn 0.7460 0.7500 0.5408
Sn 0.7540 0.2500 0.0408
Sn 0.9591 0.2500 0.6617
Pd 0.0774 0.2500 0.8948
Pd 0.4226 0.7500 0.3948
Pd 0.5774 0.2500 0.6052
Pd 0.9226 0.7500 0.1052


11.
First-principles (PBE) data for a geometry-optimized GaHg2Pb structure, as listed in Alexandria.

Properties
Energy of formation = 0.092 eV per atom
SG = P4/mmm
ρ = 11.08 g/cm3
E = -1.74 eV per atom

Unit cell a=4.6820 b=4.6820 c=4.6349 alpha=90.00 beta=90.00 gamma=90.00
Element x y z (fractional)
Ga 0.0000 0.0000 0.0000
Hg 0.0000 0.5000 0.5000
Hg 0.5000 0.0000 0.5000
Pb 0.5000 0.5000 0.0000


12.
First-principles (PBE) data for a geometry-optimized KLa2Au2 structure, as listed in Alexandria.

Properties
Energy of formation = -0.250 eV per atom
SG = I4/mmm
ρ = 6.26 g/cm3
E = -3.75 eV per atom

Unit cell a=7.1763 b=7.1763 c=7.1763 alpha=133.91 beta=133.91 gamma=67.22
Element x y z (fractional)
K 0.0000 0.0000 0.0000
La 0.3404 0.3404 0.0000
La 0.6596 0.6596 0.0000
Au 0.2500 0.7500 0.5000
Au 0.7500 0.2500 0.5000


13.
First-principles (PBE) data for a geometry-optimized KCdC3O6 structure, as listed in Alexandria.

Properties
SG = C2/c
ρ = 2.34 g/cm3
E = -6.30 eV per atom
Formation energy (no corrections) = -0.893 eV per atom

Unit cell a=7.4514 b=7.4514 c=7.4409 alpha=94.90 beta=94.90 gamma=78.57
Element x y z (fractional)
K 0.1215 0.8785 0.7500
K 0.8785 0.1215 0.2500
Cd 0.0000 0.5000 0.0000
Cd 0.5000 0.0000 0.5000
C 0.2276 0.7724 0.2500
C 0.2627 0.3685 0.6665
C 0.3685 0.2627 0.1665
C 0.6315 0.7373 0.8335
C 0.7373 0.6315 0.3335
C 0.7724 0.2276 0.7500
O 0.1124 0.7701 0.1169
O 0.1751 0.5007 0.7566
O 0.1984 0.2787 0.1673
O 0.2299 0.8876 0.3831
O 0.2787 0.1984 0.6673
O 0.4993 0.8249 0.7434
O 0.5007 0.1751 0.2566
O 0.7213 0.8016 0.3327
O 0.7701 0.1124 0.6169
O 0.8016 0.7213 0.8327
O 0.8249 0.4993 0.2434
O 0.8876 0.2299 0.8831


14.
First-principles (PBE) data for a geometry-optimized TaMo structure, as listed in Alexandria.

Properties
Energy of formation = -0.150 eV per atom
SG = C2/c
ρ = 13.61 g/cm3
E = -11.49 eV per atom

Unit cell a=5.3642 b=5.3642 c=5.6228 alpha=99.98 beta=99.98 gamma=117.56
Element x y z (fractional)
Ta 0.0000 0.5000 0.0000
Ta 0.0081 0.9919 0.7500
Ta 0.5000 0.0000 0.5000
Ta 0.9919 0.0081 0.2500
Mo 0.0000 0.5000 0.5000
Mo 0.4963 0.5037 0.7500
Mo 0.5000 0.0000 0.0000
Mo 0.5037 0.4963 0.2500


15.
First-principles (PBE) data for a geometry-optimized Al4Ni structure, as listed in Alexandria.

Properties
Energy of formation = -0.180 eV per atom
SG = I4/m
ρ = 3.77 g/cm3
E = -4.33 eV per atom
Polymorph energy (0 for the lowest one) = 0.066 eV per atom

Unit cell a=4.7695 b=4.7695 c=4.7695 alpha=99.40 beta=99.40 gamma=132.33
Element x y z (fractional)
Al 0.1055 0.7050 0.8105
Al 0.2950 0.1055 0.4005
Al 0.7050 0.8945 0.5995
Al 0.8945 0.2950 0.1895
Ni 0.5000 0.5000 0.0000


16.
First-principles (PBE) data for a geometry-optimized TaCdPt structure, as listed in Alexandria.

Properties
Energy of formation = -0.105 eV per atom
SG = Imm2
ρ = 15.43 g/cm3
E = -6.37 eV per atom

Unit cell a=5.0352 b=5.0352 c=5.0352 alpha=146.83 beta=130.56 gamma=60.83
Element x y z (fractional)
Ta 0.0000 0.0000 0.0000
Cd 0.6729 0.6729 0.0000
Pt 0.3436 0.3436 0.0000


17.
First-principles (PBE) data for a geometry-optimized Sm3Mg2Ag3 structure, as listed in Alexandria.

Properties
Energy of formation = -0.260 eV per atom
SG = P6_3/mcm
ρ = 6.93 g/cm3
E = -3.50 eV per atom
Polymorph energy (0 for the lowest one) = 0.000 eV per atom

Unit cell a=8.7770 b=8.7770 c=5.9142 alpha=90.00 beta=90.00 gamma=120.00
Element x y z (fractional)
Sm 0.0000 0.2514 0.2500
Sm 0.0000 0.7486 0.7500
Sm 0.2514 0.0000 0.2500
Sm 0.2514 0.2514 0.7500
Sm 0.7486 0.0000 0.7500
Sm 0.7486 0.7486 0.2500
Mg 0.3333 0.6667 0.0000
Mg 0.3333 0.6667 0.5000
Mg 0.6667 0.3333 0.0000
Mg 0.6667 0.3333 0.5000
Ag 0.0000 0.4036 0.7500
Ag 0.0000 0.5964 0.2500
Ag 0.4036 0.0000 0.7500
Ag 0.4036 0.4036 0.2500
Ag 0.5964 0.0000 0.2500
Ag 0.5964 0.5964 0.7500


18.
First-principles (PBE) data for a geometry-optimized SrLiMg2Hg2 structure, as listed in Alexandria.

Properties
Energy of formation = -0.345 eV per atom
SG = P-3m1
ρ = 5.91 g/cm3
E = -1.58 eV per atom

Unit cell a=4.8933 b=4.8933 c=7.3782 alpha=90.00 beta=90.00 gamma=120.00
Element x y z (fractional)
Sr 0.0000 0.0000 0.0000
Li 0.0000 0.0000 0.5000
Mg 0.3333 0.6667 0.6613
Mg 0.6667 0.3333 0.3387
Hg 0.3333 0.6667 0.2705
Hg 0.6667 0.3333 0.7295


19.
First-principles (PBE) data for a geometry-optimized EuLuPt structure, as listed in Alexandria.

Properties
Energy of formation = -0.741 eV per atom
SG = P3m1
ρ = 9.24 g/cm3
E = -7.69 eV per atom
Polymorph energy (0 for the lowest one) = 0.025 eV per atom

Unit cell a=4.1434 b=4.1434 c=6.3077 alpha=90.00 beta=90.00 gamma=120.00
Element x y z (fractional)
Eu 0.0000 0.0000 0.0000
Lu 0.6667 0.3333 0.5146
Pt 0.3333 0.6667 0.7184


20.
First-principles (PBE) data for a geometry-optimized LiTcP2 structure, as listed in Alexandria.

Properties
Energy of formation = -0.187 eV per atom
SG = Pm
ρ = 4.82 g/cm3
E = -5.96 eV per atom
Polymorph energy (0 for the lowest one) = 0.245 eV per atom

Unit cell a=3.0679 b=4.4363 c=4.3924 alpha=90.00 beta=106.06 gamma=90.00
Element x y z (fractional)
Li 0.0000 0.0000 0.0000
Tc 0.5394 0.5000 0.2522
P 0.2195 0.5000 0.6966
P 0.6736 0.0000 0.4540


21.
First-principles (PBE) data for a geometry-optimized La3Mg4Pt4 structure, as listed in Alexandria.

Properties
Energy of formation = -0.923 eV per atom
SG = Immm
ρ = 8.59 g/cm3
E = -5.04 eV per atom

Unit cell a=8.7961 b=8.7961 c=8.7961 alpha=153.09 beta=125.09 gamma=62.19
Element x y z (fractional)
La 0.0000 0.0000 0.0000
La 0.3851 0.8851 0.5000
La 0.6149 0.1149 0.5000
Mg 0.0139 0.3235 0.6904
Mg 0.3669 0.6765 0.6904
Mg 0.6331 0.3235 0.3096
Mg 0.9861 0.6765 0.3096
Pt 0.2342 0.2342 0.0000
Pt 0.2868 0.5000 0.7868
Pt 0.7132 0.5000 0.2132
Pt 0.7658 0.7658 0.0000


22.
First-principles (PBE) data for a geometry-optimized KZrCo2 structure, as listed in Alexandria.

Properties
Energy of formation = 0.507 eV per atom
SG = Pm
ρ = 4.23 g/cm3
E = -5.46 eV per atom
Polymorph energy (0 for the lowest one) = 0.106 eV per atom

Unit cell a=3.7214 b=3.7668 c=7.1949 alpha=90.00 beta=104.94 gamma=90.00
Element x y z (fractional)
K 0.0000 0.0000 0.0000
Zr 0.7293 0.5000 0.4557
Co 0.2682 0.0000 0.5334
Co 0.3527 0.5000 0.7034


23.
First-principles (PBE) data for a geometry-optimized Li2Pm3Ga8 structure, as listed in Alexandria.

Properties
Energy of formation = -0.464 eV per atom
SG = P-1
ρ = 6.30 g/cm3
E = -3.72 eV per atom

Unit cell a=5.8634 b=5.9714 c=7.9007 alpha=94.36 beta=105.72 gamma=91.50
Element x y z (fractional)
Li 0.2003 0.0180 0.1240
Li 0.7997 0.9820 0.8760
Pm 0.0000 0.5000 0.0000
Pm 0.3016 0.1475 0.6859
Pm 0.6984 0.8525 0.3141
Ga 0.0547 0.6580 0.6537
Ga 0.2103 0.7486 0.3750
Ga 0.4151 0.3409 0.3600
Ga 0.4532 0.6938 0.9245
Ga 0.5468 0.3062 0.0755
Ga 0.5849 0.6591 0.6400
Ga 0.7897 0.2514 0.6250
Ga 0.9453 0.3420 0.3463


24.
First-principles (PBE) data for a geometry-optimized HoNpSc2O8 structure, as listed in Alexandria.

Properties
SG = Cmmm
ρ = 6.31 g/cm3
E = -8.97 eV per atom
Formation energy (no corrections) = -3.149 eV per atom

Unit cell a=4.9048 b=4.9048 c=6.7792 alpha=90.00 beta=90.00 gamma=90.09
Element x y z (fractional)
Ho 0.0000 0.0000 0.0000
Np 0.0000 0.0000 0.5000
Sc 0.5000 0.5000 0.2310
Sc 0.5000 0.5000 0.7690
O 0.1938 0.1938 0.2718
O 0.1938 0.1938 0.7282
O 0.2879 0.7121 0.5000
O 0.3164 0.6836 0.0000
O 0.6836 0.3164 0.0000
O 0.7121 0.2879 0.5000
O 0.8062 0.8062 0.2718
O 0.8062 0.8062 0.7282